The following is a DFT calculation (PBE) of CsNpBe2Cl8 after structural relaxation.

Cell: 11.059 11.059 11.059 Å, 33.05 33.05 33.05°
Positions (direct):
Cs: 0.000 0.000 0.000
Np: 0.500 0.500 0.500
Be: 0.244 0.244 0.244
Be: 0.756 0.756 0.756
Cl: 0.087 0.781 0.471
Cl: 0.219 0.529 0.913
Cl: 0.306 0.306 0.306
Cl: 0.471 0.087 0.781
Cl: 0.529 0.913 0.219
Cl: 0.694 0.694 0.694
Cl: 0.781 0.471 0.087
Cl: 0.913 0.219 0.529

Values from the calculation:
total moment	4.000	μB/f.u.
formation energy from raw total energies	-1.621	eV per atom
energy	-4.62	eV/atom

---

The following is a DFT calculation (PBE) of AlH6Ru after structural relaxation.

Cell: 3.150 4.607 4.724 Å, 85.30 71.11 74.57°
Positions (direct):
Al: 0.000 0.000 0.000
H: 0.099 0.498 0.797
H: 0.242 0.778 0.277
H: 0.488 0.225 0.278
H: 0.512 0.775 0.722
H: 0.758 0.222 0.723
H: 0.901 0.502 0.203
Ru: 0.500 0.500 0.000

Values from the calculation:
total moment	0.000	μB/f.u.
energy	-4.05	eV/atom

---

The following is a DFT calculation (PBE) of ThTlCuI6 after structural relaxation.

Cell: 7.671 7.671 15.706 Å, 90.00 90.00 120.00°
Positions (direct):
Th: 0.333 0.667 0.250
Th: 0.667 0.333 0.750
Tl: 0.000 0.000 0.000
Tl: 0.000 0.000 0.500
Cu: 0.333 0.667 0.750
Cu: 0.667 0.333 0.250
I: 0.016 0.369 0.640
I: 0.016 0.647 0.860
I: 0.353 0.369 0.860
I: 0.353 0.984 0.640
I: 0.369 0.016 0.140
I: 0.369 0.353 0.360
I: 0.631 0.647 0.640
I: 0.631 0.984 0.860
I: 0.647 0.016 0.360
I: 0.647 0.631 0.140
I: 0.984 0.353 0.140
I: 0.984 0.631 0.360

Values from the calculation:
total moment	0.058	μB/f.u.
formation energy from raw total energies	-0.794	eV per atom
energy	-3.37	eV/atom

---

The following is a DFT calculation (PBE) of PrSm2CdAu4 after structural relaxation.

Cell: 8.939 8.939 8.939 Å, 33.39 33.39 33.39°
Positions (direct):
Pr: 0.000 0.000 0.000
Sm: 0.241 0.241 0.241
Sm: 0.759 0.759 0.759
Cd: 0.500 0.500 0.500
Au: 0.121 0.121 0.121
Au: 0.371 0.371 0.371
Au: 0.629 0.629 0.629
Au: 0.879 0.879 0.879

Values from the calculation:
E_form	-0.712	eV/atom
total moment	0.000	μB/f.u.
energy	-4.24	eV/atom

---

The following is a DFT calculation (PBE) of Np6P5Cl after structural relaxation.

Cell: 6.880 6.880 6.867 Å, 99.60 99.60 119.97°
Positions (direct):
Np: 0.077 0.415 0.746
Np: 0.245 0.245 0.252
Np: 0.415 0.077 0.746
Np: 0.585 0.923 0.254
Np: 0.755 0.755 0.748
Np: 0.923 0.585 0.254
P: 0.000 0.000 0.500
P: 0.167 0.833 0.000
P: 0.336 0.664 0.500
P: 0.664 0.336 0.500
P: 0.833 0.167 0.000
Cl: 0.500 0.500 0.000

Values from the calculation:
total moment	23.673	μB/f.u.
formation energy from raw total energies	-0.877	eV per atom
energy	-9.76	eV/atom

---

The following is a DFT calculation (PBE) of ZnTc2Os after structural relaxation.

Cell: 7.290 7.290 5.085 Å, 90.00 90.00 90.00°
Positions (direct):
Zn: 0.000 0.000 0.000
Zn: 0.000 0.500 0.250
Zn: 0.500 0.000 0.750
Zn: 0.500 0.500 0.500
Tc: 0.202 0.750 0.625
Tc: 0.250 0.202 0.375
Tc: 0.250 0.298 0.875
Tc: 0.298 0.750 0.125
Tc: 0.702 0.250 0.125
Tc: 0.750 0.702 0.875
Tc: 0.750 0.798 0.375
Tc: 0.798 0.250 0.625
Os: 0.000 0.000 0.500
Os: 0.000 0.500 0.750
Os: 0.500 0.000 0.250
Os: 0.500 0.500 0.000

Values from the calculation:
E_form	0.746	eV/atom
total moment	0.000	μB/f.u.
energy	-7.56	eV/atom

---

The following is a DFT calculation (PBE) of Ta2AsH after structural relaxation.

Cell: 4.277 4.277 15.516 Å, 90.00 90.00 120.00°
Positions (direct):
Ta: 0.000 0.000 0.119
Ta: 0.000 0.000 0.881
Ta: 0.333 0.667 0.547
Ta: 0.333 0.667 0.786
Ta: 0.667 0.333 0.214
Ta: 0.667 0.333 0.453
As: 0.000 0.000 0.500
As: 0.333 0.667 0.167
As: 0.667 0.333 0.833
H: 0.000 0.000 0.000
H: 0.333 0.667 0.667
H: 0.667 0.333 0.333

Values from the calculation:
total moment	0.000	μB/f.u.
polymorph energy (0 for the lowest one)	2.11	eV/f.u.
energy	-7.52	eV/atom

---

The following is a DFT calculation (PBE) of Zn2Ni2Pd after structural relaxation.

Cell: 3.370 3.370 12.217 Å, 90.00 90.00 90.00°
Positions (direct):
Zn: 0.000 0.000 0.103
Zn: 0.000 0.000 0.897
Zn: 0.500 0.500 0.397
Zn: 0.500 0.500 0.603
Ni: 0.000 0.500 0.250
Ni: 0.000 0.500 0.750
Ni: 0.500 0.000 0.250
Ni: 0.500 0.000 0.750
Pd: 0.000 0.000 0.500
Pd: 0.500 0.500 0.000

Values from the calculation:
E_form	-0.057	eV/atom
total moment	0.002	μB/f.u.
polymorph energy (0 for the lowest one)	0.59	eV/f.u.
energy	-3.92	eV/atom

---

- What is the formula in the fifth record?
  Np6P5Cl